KLuFeSe3: optimized geometry, GGA-PBE.

As for the size of the total moment: 16.02 Bohr magnetons per cell. The polymorph energy (0 for the lowest one) is 26.1 meV per atom. The calculation puts the total energy at -125.97 eV for the cell shown.

Cell lengths 10.637, 4.074, 14.561 Å; angles 90.00, 90.00, 90.00 degrees
Fractional coordinates of all 24 atoms:
K  0.237  0.250  0.004
K  0.263  0.750  0.504
K  0.737  0.250  0.496
K  0.763  0.750  0.996
Lu  0.008  0.750  0.253
Lu  0.492  0.250  0.753
Lu  0.508  0.750  0.247
Lu  0.992  0.250  0.747
Fe  0.243  0.750  0.783
Fe  0.257  0.250  0.283
Fe  0.743  0.750  0.717
Fe  0.757  0.250  0.217
Se  0.052  0.750  0.873
Se  0.071  0.250  0.378
Se  0.244  0.250  0.685
Se  0.256  0.750  0.185
Se  0.429  0.750  0.878
Se  0.448  0.250  0.373
Se  0.552  0.750  0.627
Se  0.571  0.250  0.122
Se  0.744  0.250  0.815
Se  0.756  0.750  0.315
Se  0.929  0.750  0.622
Se  0.948  0.250  0.127